1.
# YTiSiPt2 PBE-GGA relaxed
data_YTiSiPt2
_space_group_name_H-M_alt 'P 1'
_space_group_IT_number 1
_space_group_name_Hall 'P 1'
_cell_length_a 5.014
_cell_length_b 5.014
_cell_length_c 5.084
_cell_angle_alpha 90.00
_cell_angle_beta 90.00
_cell_angle_gamma 90.00
loop_
_atom_site_label
_atom_site_fract_x
_atom_site_fract_y
_atom_site_fract_z
Y1 0.000 0.000 0.000
Ti1 0.500 0.500 0.500
Si1 0.000 0.000 0.500
Pt1 0.000 0.500 0.000
Pt2 0.500 0.000 0.000
# SG: No. 123
# Raw formation energy: 1.034 eV per atom
# VASP energy: -5.339 eV/atom
# Fermi-level density of states: 6.460 states/eV per cell

2.
# Y2TiSi3Pt4 PBE-GGA relaxed
data_Y2TiSi3Pt4
_space_group_name_H-M_alt 'P 1'
_space_group_IT_number 1
_space_group_name_Hall 'P 1'
_cell_length_a 4.131
_cell_length_b 4.131
_cell_length_c 10.463
_cell_angle_alpha 90.00
_cell_angle_beta 90.00
_cell_angle_gamma 90.00
loop_
_atom_site_label
_atom_site_fract_x
_atom_site_fract_y
_atom_site_fract_z
Y1 0.000 0.500 0.241
Y2 0.500 0.000 0.759
Ti1 0.000 0.000 0.500
Si1 0.000 0.500 0.866
Si2 0.500 0.000 0.134
Si3 0.500 0.500 0.500
Pt1 0.000 0.000 0.000
Pt2 0.000 0.500 0.640
Pt3 0.500 0.000 0.360
Pt4 0.500 0.500 0.000
# SG: No. 115
# Raw formation energy: -1.093 eV per atom
# VASP energy: -7.218 eV/atom
# Fermi-level density of states: 9.345 states/eV per cell

3.
# Y2TiSi4Pt3 PBE-GGA relaxed
data_Y2TiSi4Pt3
_space_group_name_H-M_alt 'P 1'
_space_group_IT_number 1
_space_group_name_Hall 'P 1'
_cell_length_a 4.119
_cell_length_b 4.119
_cell_length_c 10.421
_cell_angle_alpha 90.00
_cell_angle_beta 90.00
_cell_angle_gamma 90.00
loop_
_atom_site_label
_atom_site_fract_x
_atom_site_fract_y
_atom_site_fract_z
Y1 0.000 0.500 0.245
Y2 0.500 0.000 0.755
Ti1 0.000 0.000 0.500
Si1 0.000 0.000 0.000
Si2 0.000 0.500 0.644
Si3 0.500 0.000 0.356
Si4 0.500 0.500 0.000
Pt1 0.000 0.500 0.877
Pt2 0.500 0.000 0.123
Pt3 0.500 0.500 0.500
# SG: No. 115
# Raw formation energy: -1.037 eV per atom
# VASP energy: -7.101 eV/atom
# Fermi-level density of states: 3.418 states/eV per cell

4.
# ZrTi2SiPt PBE-GGA relaxed
data_ZrTi2SiPt
_space_group_name_H-M_alt 'P 1'
_space_group_IT_number 1
_space_group_name_Hall 'P 1'
_cell_length_a 4.670
_cell_length_b 4.670
_cell_length_c 4.873
_cell_angle_alpha 90.00
_cell_angle_beta 90.00
_cell_angle_gamma 90.00
loop_
_atom_site_label
_atom_site_fract_x
_atom_site_fract_y
_atom_site_fract_z
Zr1 0.000 0.000 0.000
Ti1 0.000 0.500 0.000
Ti2 0.500 0.000 0.000
Si1 0.000 0.000 0.500
Pt1 0.500 0.500 0.500
# SG: No. 123
# Raw formation energy: 1.116 eV per atom
# VASP energy: -6.045 eV/atom
# Fermi-level density of states: 6.052 states/eV per cell

5.
# TlSi2Pt PBE-GGA relaxed
data_TlSi2Pt
_space_group_name_H-M_alt 'P 1'
_space_group_IT_number 1
_space_group_name_Hall 'P 1'
_cell_length_a 3.081
_cell_length_b 3.266
_cell_length_c 7.733
_cell_angle_alpha 90.00
_cell_angle_beta 90.00
_cell_angle_gamma 90.00
loop_
_atom_site_label
_atom_site_fract_x
_atom_site_fract_y
_atom_site_fract_z
Tl1 0.000 0.000 0.000
Si1 0.000 0.000 0.463
Si2 0.500 0.500 0.653
Pt1 0.500 0.500 0.316
# Energy above the most stable polymorph in this dataset: 0.99 eV/f.u.
# SG: No. 25
# Raw formation energy: 0.081 eV per atom
# VASP energy: -4.732 eV/atom
# Fermi-level density of states: 1.190 states/eV per cell

6.
# TlSi2Pt PBE-GGA relaxed
data_TlSi2Pt
_space_group_name_H-M_alt 'P 1'
_space_group_IT_number 1
_space_group_name_Hall 'P 1'
_cell_length_a 4.667
_cell_length_b 4.667
_cell_length_c 15.664
_cell_angle_alpha 90.00
_cell_angle_beta 90.00
_cell_angle_gamma 90.00
loop_
_atom_site_label
_atom_site_fract_x
_atom_site_fract_y
_atom_site_fract_z
Tl1 0.000 0.000 0.000
Tl2 0.000 0.500 0.250
Tl3 0.500 0.000 0.750
Tl4 0.500 0.500 0.500
Si1 0.144 0.250 0.625
Si2 0.250 0.644 0.875
Si3 0.250 0.856 0.375
Si4 0.356 0.250 0.125
Si5 0.644 0.750 0.125
Si6 0.750 0.144 0.375
Si7 0.750 0.356 0.875
Si8 0.856 0.750 0.625
Pt1 0.000 0.000 0.500
Pt2 0.000 0.500 0.750
Pt3 0.500 0.000 0.250
Pt4 0.500 0.500 0.000
# Energy above the most stable polymorph in this dataset: 0.99 eV/f.u.
# SG: No. 122
# Raw formation energy: 0.083 eV per atom
# VASP energy: -4.730 eV/atom
# Fermi-level density of states: 12.638 states/eV per cell

7.
# TlSi4Pt PBE-GGA relaxed
data_TlSi4Pt
_space_group_name_H-M_alt 'P 1'
_space_group_IT_number 1
_space_group_name_Hall 'P 1'
_cell_length_a 5.289
_cell_length_b 5.289
_cell_length_c 5.289
_cell_angle_alpha 60.00
_cell_angle_beta 60.00
_cell_angle_gamma 60.00
loop_
_atom_site_label
_atom_site_fract_x
_atom_site_fract_y
_atom_site_fract_z
Tl1 0.000 0.000 0.000
Si1 0.375 0.375 0.375
Si2 0.375 0.375 0.874
Si3 0.375 0.874 0.375
Si4 0.874 0.375 0.375
Pt1 0.750 0.750 0.750
# SG: No. 216
# Raw formation energy: 0.573 eV per atom
# VASP energy: -4.444 eV/atom
# Fermi-level density of states: 3.756 states/eV per cell

8.
# TlSi2Pt PBE-GGA relaxed
data_TlSi2Pt
_space_group_name_H-M_alt 'P 1'
_space_group_IT_number 1
_space_group_name_Hall 'P 1'
_cell_length_a 2.817
_cell_length_b 5.401
_cell_length_c 10.251
_cell_angle_alpha 90.00
_cell_angle_beta 90.00
_cell_angle_gamma 90.00
loop_
_atom_site_label
_atom_site_fract_x
_atom_site_fract_y
_atom_site_fract_z
Tl1 0.000 0.000 0.000
Tl2 0.500 0.500 0.500
Si1 0.000 0.500 0.208
Si2 0.000 0.500 0.792
Si3 0.500 0.000 0.292
Si4 0.500 0.000 0.708
Pt1 0.000 0.000 0.500
Pt2 0.500 0.500 0.000
# Energy above the most stable polymorph in this dataset: 1.60 eV/f.u.
# SG: No. 71
# Raw formation energy: 0.235 eV per atom
# VASP energy: -4.578 eV/atom
# Fermi-level density of states: 4.387 states/eV per cell

9.
# TlSi2Pt PBE-GGA relaxed
data_TlSi2Pt
_space_group_name_H-M_alt 'P 1'
_space_group_IT_number 1
_space_group_name_Hall 'P 1'
_cell_length_a 5.532
_cell_length_b 8.617
_cell_length_c 4.209
_cell_angle_alpha 90.00
_cell_angle_beta 130.95
_cell_angle_gamma 90.00
loop_
_atom_site_label
_atom_site_fract_x
_atom_site_fract_y
_atom_site_fract_z
Tl1 0.000 0.000 0.000
Tl2 0.500 0.500 0.000
Si1 0.250 0.250 0.500
Si2 0.250 0.750 0.500
Si3 0.750 0.250 0.500
Si4 0.750 0.750 0.500
Pt1 0.000 0.500 0.000
Pt2 0.500 0.000 0.000
# Energy above the most stable polymorph in this dataset: 2.02 eV/f.u.
# SG: No. 12
# Raw formation energy: 0.339 eV per atom
# VASP energy: -4.475 eV/atom
# Fermi-level density of states: 4.004 states/eV per cell

10.
# TlSi2Pt PBE-GGA relaxed
data_TlSi2Pt
_space_group_name_H-M_alt 'P 1'
_space_group_IT_number 1
_space_group_name_Hall 'P 1'
_cell_length_a 4.341
_cell_length_b 4.341
_cell_length_c 7.754
_cell_angle_alpha 90.00
_cell_angle_beta 90.00
_cell_angle_gamma 90.00
loop_
_atom_site_label
_atom_site_fract_x
_atom_site_fract_y
_atom_site_fract_z
Tl1 0.000 0.000 0.000
Tl2 0.500 0.500 0.500
Si1 0.000 0.000 0.500
Si2 0.000 0.500 0.250
Si3 0.500 0.000 0.750
Si4 0.500 0.500 0.000
Pt1 0.000 0.500 0.750
Pt2 0.500 0.000 0.250
# Energy above the most stable polymorph in this dataset: 2.41 eV/f.u.
# SG: No. 119
# Raw formation energy: 0.438 eV per atom
# VASP energy: -4.375 eV/atom
# Fermi-level density of states: 2.980 states/eV per cell

11.
# TlSiPt4 PBE-GGA relaxed
data_TlSiPt4
_space_group_name_H-M_alt 'P 1'
_space_group_IT_number 1
_space_group_name_Hall 'P 1'
_cell_length_a 5.368
_cell_length_b 5.368
_cell_length_c 5.368
_cell_angle_alpha 60.00
_cell_angle_beta 60.00
_cell_angle_gamma 60.00
loop_
_atom_site_label
_atom_site_fract_x
_atom_site_fract_y
_atom_site_fract_z
Tl1 0.000 0.000 0.000
Si1 0.250 0.250 0.250
Pt1 0.126 0.625 0.625
Pt2 0.625 0.126 0.625
Pt3 0.625 0.625 0.126
Pt4 0.625 0.625 0.625
# SG: No. 216
# Raw formation energy: 0.115 eV per atom
# VASP energy: -5.210 eV/atom
# Fermi-level density of states: 4.357 states/eV per cell

12.
# Tl3SiPt PBE-GGA relaxed
data_Tl3SiPt
_space_group_name_H-M_alt 'P 1'
_space_group_IT_number 1
_space_group_name_Hall 'P 1'
_cell_length_a 5.193
_cell_length_b 5.193
_cell_length_c 5.193
_cell_angle_alpha 90.00
_cell_angle_beta 90.00
_cell_angle_gamma 90.00
loop_
_atom_site_label
_atom_site_fract_x
_atom_site_fract_y
_atom_site_fract_z
Tl1 0.000 0.000 0.500
Tl2 0.000 0.500 0.000
Tl3 0.500 0.000 0.000
Si1 0.000 0.000 0.000
Pt1 0.500 0.500 0.500
# Energy above the most stable polymorph in this dataset: 1.13 eV/f.u.
# SG: No. 221
# Raw formation energy: 0.710 eV per atom
# VASP energy: -3.002 eV/atom
# Fermi-level density of states: 1.545 states/eV per cell